! FeTcNO2 | the Alexandria database | PBE with a Hubbard U | relaxed; values from VASP
! E = -35.9 eV for the cell shown
&SYSTEM
  ibrav = 0, nat = 5, ntyp = 4
/
ATOMIC_SPECIES
Fe 55.84 Fe.upf
Tc 98.00 Tc.upf
N 14.01 N.upf
O 16.00 O.upf
CELL_PARAMETERS angstrom
3.871 0.000 0.000
0.000 3.871 0.000
0.000 0.000 3.908
ATOMIC_POSITIONS crystal
Fe 0.000 0.000 0.000
Tc 0.500 0.500 0.500
N 0.500 0.500 0.000
O 0.000 0.500 0.500
O 0.500 0.000 0.500